# 1
Material: Mg6ZnAu10
Method: DFT, PBE
State: optimized geometry Values from VASP.

Output
Calculated density: 11.68 g cm⁻³
N(E_F): 0.289 states/eV/atom
Final energy: -0.2204 Ry per atom
DFT formation energy: -433 meV/atom

Quantum ESPRESSO input file:
```
&SYSTEM
  ibrav = 0, nat = 17, ntyp = 3
/
ATOMIC_SPECIES
Mg 24.30 Mg.upf
Zn 65.41 Zn.upf
Au 196.97 Au.upf
ATOMIC_POSITIONS crystal
Mg 0.0000 0.3722 0.2851
Mg 0.0000 0.6278 0.7149
Mg 0.3722 0.0000 0.2851
Mg 0.3722 0.3722 0.7149
Mg 0.6278 0.0000 0.7149
Mg 0.6278 0.6278 0.2851
Zn 0.0000 0.0000 0.5000
Au 0.0000 0.2775 0.7979
Au 0.0000 0.7225 0.2021
Au 0.2775 0.0000 0.7979
Au 0.2775 0.2775 0.2021
Au 0.3333 0.6667 0.0000
Au 0.3333 0.6667 0.5000
Au 0.6667 0.3333 0.0000
Au 0.6667 0.3333 0.5000
Au 0.7225 0.0000 0.2021
Au 0.7225 0.7225 0.7979
CELL_PARAMETERS angstrom
8.0430 0.0000 0.0000
-4.0215 6.9654 0.0000
0.0000 0.0000 5.5350
```

***

# 2
Material: OsPbCl2
Method: DFT, PBE
State: optimized geometry Values from VASP.

Output
Formation energy without anion corrections: 646 meV per atom
Calculated density: 8.33 g cm⁻³
N(E_F): 0.113 states/eV/atom
Final energy: -0.2948 Ry per atom
Offset from the most stable computed form: 535 meV/atom

Quantum ESPRESSO input file:
```
&SYSTEM
  ibrav = 0, nat = 8, ntyp = 3
/
ATOMIC_SPECIES
Os 190.23 Os.upf
Pb 207.20 Pb.upf
Cl 35.45 Cl.upf
ATOMIC_POSITIONS crystal
Os 0.0000 0.0000 0.0000
Os 0.7500 0.2500 0.5000
Pb 0.2500 0.7500 0.5000
Pb 0.5000 0.5000 0.0000
Cl 0.0433 0.6250 0.9183
Cl 0.3750 0.2933 0.4183
Cl 0.7067 0.1250 0.0817
Cl 0.8750 0.9567 0.5817
CELL_PARAMETERS angstrom
-2.3874 2.3874 8.1899
2.3874 -2.3874 8.1899
2.3874 2.3874 -8.1899
```

***

# 3
Material: InBiOs2O
Method: DFT, PBE
State: optimized geometry Values from VASP.

Output
Formation energy without anion corrections: 2568 meV per atom
Calculated density: 7.52 g cm⁻³
N(E_F): 0.913 states/eV/atom
Final energy: -0.3116 Ry per atom

Quantum ESPRESSO input file:
```
&SYSTEM
  ibrav = 0, nat = 5, ntyp = 4
/
ATOMIC_SPECIES
In 114.82 In.upf
Bi 208.98 Bi.upf
Os 190.23 Os.upf
O 16.00 O.upf
ATOMIC_POSITIONS crystal
In 0.0000 0.0000 0.0000
Bi 0.0000 0.0000 0.5000
Os 0.0000 0.5000 0.5000
Os 0.5000 0.0000 0.5000
O 0.5000 0.5000 0.0000
CELL_PARAMETERS angstrom
5.0485 0.0000 0.0000
0.0000 5.0485 0.0000
0.0000 0.0000 6.2428
```

***

# 4
Material: La2TcRu
Method: DFT, PBE
State: optimized geometry Values from VASP.

Output
Calculated density: 8.54 g cm⁻³
N(E_F): 1.167 states/eV/atom
Final energy: -0.5123 Ry per atom
DFT formation energy: 403 meV/atom
Offset from the most stable computed form: 414 meV/atom

Quantum ESPRESSO input file:
```
&SYSTEM
  ibrav = 0, nat = 4, ntyp = 3
/
ATOMIC_SPECIES
La 138.91 La.upf
Tc 98.00 Tc.upf
Ru 101.07 Ru.upf
ATOMIC_POSITIONS crystal
La 0.2477 0.2477 0.2478
La 0.7523 0.7523 0.7522
Tc 0.0000 0.0000 0.5000
Ru 0.5000 0.5000 0.0000
CELL_PARAMETERS angstrom
4.4452 -1.7604 0.0000
4.4452 1.7604 0.0000
-1.4614 0.0000 5.9226
```